Entry 1:
Compound: La8Ga2Hg
Source: Alexandria
Functional: GGA-PBE
Structure: optimized geometry

a b c (Å): 5.0802 9.0178 9.0864
angles (deg): 119.75 106.23 90.00
With the nearest neighbours (Å) after each atom.
Atoms (fractional coordinates):
Hg1 0.5000 0.0000 0.0000  8 La 3.37-3.45
Ga1 0.1988 0.6988 0.3975  10 La 3.28-3.41
Ga2 0.8012 0.3012 0.6025  10 La 3.28-3.41
La1 0.6568 0.8764 0.3136  3 Ga 3.28-3.32, 1 Hg 3.45, 5 La 3.49-3.59
La2 0.3432 0.5628 0.6864  3 Ga 3.28-3.32, 1 Hg 3.45, 5 La 3.49-3.59
La3 0.1487 0.1487 0.2974  2 Hg 3.37, 2 Ga 3.41, 8 La 3.52-3.75
La4 0.0000 0.3349 0.0000  1 La 2.98, 2 Ga 3.32
La5 0.8513 0.8513 0.7026  2 Hg 3.37, 2 Ga 3.41, 8 La 3.52-3.75
La6 0.6568 0.4372 0.3136  3 Ga 3.28-3.32, 1 Hg 3.45, 5 La 3.49-3.59
La7 0.3432 0.1236 0.6864  3 Ga 3.28-3.32, 1 Hg 3.45, 5 La 3.49-3.59
La8 0.0000 0.6651 0.0000  1 La 2.98, 2 Ga 3.32

=====

Entry 2:
Compound: TbTm4Pu
Source: Alexandria
Functional: GGA-PBE
Structure: optimized geometry

a b c (Å): 3.4891 9.2377 11.2840
angles (deg): 90.00 90.00 100.89
With the nearest neighbours (Å) after each atom.
Atoms (fractional coordinates):
Tb1 0.7781 0.5563 0.5154  7 Tm 3.44-3.51, 3 Pu 3.45-3.49, 2 Tb 3.49
Tb2 0.2219 0.4437 0.0154  7 Tm 3.44-3.51, 3 Pu 3.45-3.49, 2 Tb 3.49
Tm1 0.9993 0.9986 0.2700  10 Tm 3.44-3.51, 2 Pu 3.47
Tm2 0.0007 0.0014 0.7700  10 Tm 3.44-3.51, 2 Pu 3.47
Tm3 0.8894 0.7788 0.0219  2 Pu 3.42, 8 Tm 3.44-3.50, 2 Tb 3.51
Tm4 0.1106 0.2212 0.5219  2 Pu 3.42, 8 Tm 3.44-3.50, 2 Tb 3.51
Tm5 0.6671 0.3343 0.2685  3 Tb 3.44-3.49, 7 Tm 3.47-3.51, 2 Pu 3.49
Tm6 0.3329 0.6657 0.7685  3 Tb 3.44-3.49, 7 Tm 3.47-3.51, 2 Pu 3.49
Tm7 0.4443 0.8885 0.5180  9 Tm 3.45-3.49, 1 Pu 3.47, 2 Tb 3.48
Tm8 0.5557 0.1115 0.0180  9 Tm 3.45-3.49, 1 Pu 3.47, 2 Tb 3.48
Pu1 0.6662 0.3323 0.7672  7 Tm 3.42-3.49, 3 Tb 3.45-3.49, 2 Pu 3.49
Pu2 0.3338 0.6677 0.2672  7 Tm 3.42-3.49, 3 Tb 3.45-3.49, 2 Pu 3.49

=====

Entry 3:
Compound: Dy2Ho3Cd4
Source: Alexandria
Functional: GGA-PBE
Structure: optimized geometry

a b c (Å): 6.6900 8.0476 9.8939
angles (deg): 90.00 109.76 90.00
With the nearest neighbours (Å) after each atom.
Atoms (fractional coordinates):
Dy1 0.0920 0.6007 0.1840  5 Cd 3.29-3.64, 3 Ho 3.64-3.66
Dy2 0.9080 0.3993 0.8160  5 Cd 3.29-3.64, 3 Ho 3.64-3.66
Dy3 0.4080 0.1007 0.8160  5 Cd 3.29-3.64, 3 Ho 3.64-3.66
Dy4 0.5920 0.8993 0.1840  5 Cd 3.29-3.64, 3 Ho 3.64-3.66
Ho1 0.0000 0.0000 0.0000  6 Cd 2.97-2.99
Ho2 0.5000 0.5000 0.0000  6 Cd 2.97-2.99
Ho3 0.5047 0.7500 0.5094  5 Cd 3.06-3.16, 2 Ho 3.34
Ho4 0.9953 0.2500 0.4906  5 Cd 3.06-3.16, 2 Ho 3.34
Ho5 0.4953 0.2500 0.4906  5 Cd 3.06-3.16, 2 Ho 3.34
Ho6 0.0047 0.7500 0.5094  5 Cd 3.06-3.16, 2 Ho 3.34
Cd1 0.6743 0.7500 0.8487  3 Ho 2.97-3.16, 2 Cd 3.16, 2 Dy 3.29
Cd2 0.8257 0.2500 0.1513  3 Ho 2.97-3.16, 2 Cd 3.16, 2 Dy 3.29
Cd3 0.3257 0.2500 0.1513  3 Ho 2.97-3.16, 2 Cd 3.16, 2 Dy 3.29
Cd4 0.1743 0.7500 0.8487  3 Ho 2.97-3.16, 2 Cd 3.16, 2 Dy 3.29
Cd5 0.1601 0.9809 0.3202  5 Ho 2.99-3.16, 2 Cd 3.16, 1 Dy 3.31
Cd6 0.8399 0.0191 0.6798  5 Ho 2.99-3.16, 2 Cd 3.16, 1 Dy 3.31
Cd7 0.3399 0.4809 0.6798  5 Ho 2.99-3.16, 2 Cd 3.16, 1 Dy 3.31
Cd8 0.6601 0.5191 0.3202  5 Ho 2.99-3.16, 2 Cd 3.16, 1 Dy 3.31

=====

Number 1: ΔH_f (0 K) -257 meV/atom. Number 2: ΔH_f (0 K) 44 meV/atom. Number 3: ΔH_f (0 K) -140 meV/atom.